The following is a PBE calculation of crystalline K2TlTc at its relaxed geometry, from Alexandria.

The structure in extended XYZ format:
```
4
Lattice="0.000 4.120 4.120 4.120 0.000 4.120 4.120 4.120 0.000" Properties=species:S:1:pos:R:3 pbc="T T T"
K 2.060 2.060 2.060
K 6.180 6.180 6.180
Tl 4.120 4.120 4.120
Tc 0.000 0.000 0.000
```

Output
Polymorph energy (0 for the lowest one): 441 meV per atom
Energy of formation from the pure elements: 1.112 eV per atom
Space group: Fm-3m

---

The following is a PBE calculation of crystalline CeOsPb2O8 at its relaxed geometry, from Alexandria.

The structure in extended XYZ format:
```
12
Lattice="5.237 -0.045 -0.003 -0.013 5.335 -0.006 0.004 0.008 6.818" Properties=species:S:1:pos:R:3 pbc="T T T"
Ce 0.002 0.004 3.409
Os 0.000 0.000 0.000
Pb 2.615 2.651 5.144
Pb 2.613 2.647 1.664
O 0.769 4.298 1.441
O 3.765 4.203 -0.007
O 4.457 0.995 1.442
O 4.459 1.000 5.368
O 1.464 1.095 6.816
O 0.771 4.303 5.367
O 3.626 3.835 3.402
O 1.603 1.463 3.406
```

Output
Space group: P2/m
Formation energy without anion corrections: -1.52 eV/atom

---

The following is a PBE calculation of crystalline CuAg2Sn at its relaxed geometry, from Alexandria.

The structure in extended XYZ format:
```
4
Lattice="-0.906 -2.256 -1.941 1.552 -2.694 -0.086 -5.261 -5.011 5.788" Properties=species:S:1:pos:R:3 pbc="T T T"
Cu -4.829 -8.311 4.435
Ag -4.054 -4.271 4.363
Ag -0.991 -2.390 0.748
Sn -2.309 -4.982 1.883
```

Output
Energy of formation from the pure elements: 0.196 eV per atom
Space group: R3m

---

The following is a PBE calculation of crystalline SnBiTePb at its relaxed geometry, from Alexandria.

The structure in extended XYZ format:
```
4
Lattice="4.554 0.039 -0.529 -2.240 3.857 -0.004 -3.335 -1.922 8.315" Properties=species:S:1:pos:R:3 pbc="T T T"
Sn -0.901 -1.046 5.150
Bi -3.072 0.277 6.896
Te -1.530 1.164 2.911
Pb 0.622 -0.170 0.952
```

Output
Polymorph energy (0 for the lowest one): 0 meV per atom
Space group: P1
Formation energy without anion corrections: -0.08 eV/atom

---

The following is a PBE calculation of crystalline Ho4Tm5Tl at its relaxed geometry, from Alexandria.

The structure in extended XYZ format:
```
10
Lattice="-4.458 3.224 1.563 -4.579 -3.817 5.277 1.789 4.474 6.338" Properties=species:S:1:pos:R:3 pbc="T T T"
Ho -2.286 3.321 6.720
Ho -5.371 2.955 9.139
Ho -1.520 0.667 3.914
Ho -4.605 0.301 6.333
Tm -3.342 5.541 9.498
Tm -4.081 -0.548 9.485
Tm -2.770 4.141 3.554
Tm -3.509 -1.948 3.541
Tm -2.966 2.145 1.040
Tl -0.818 0.592 0.287
```

Output
Polymorph energy (0 for the lowest one): 196 meV per atom
Energy of formation from the pure elements: 0.146 eV per atom
Space group: I4mm

---

The following is a PBE calculation of crystalline Tb2Sc2GeBi2 at its relaxed geometry, from Alexandria.

The structure in extended XYZ format:
```
7
Lattice="-0.093 4.603 1.860 -0.576 -1.858 4.569 8.401 -1.586 -2.284" Properties=species:S:1:pos:R:3 pbc="T T T"
Tb 2.749 -0.073 0.317
Tb 4.982 1.232 3.828
Sc -0.288 -0.929 2.284
Sc -0.047 2.302 0.930
Ge 0.000 0.000 0.000
Bi 5.902 -0.156 0.681
Bi 1.829 1.316 3.464
```

Output
Energy of formation from the pure elements: -0.584 eV per atom
Space group: I4/mmm

---

The following is a PBE calculation of crystalline Nb2RhPbBr at its relaxed geometry, from Alexandria.

The structure in extended XYZ format:
```
5
Lattice="-1.822 -4.930 -1.285 -0.562 -1.049 4.819 -5.058 1.915 -0.173" Properties=species:S:1:pos:R:3 pbc="T T T"
Pb 0.000 0.000 0.000
Nb -2.529 0.957 -0.086
Nb -0.911 -2.465 -0.643
Rh -0.281 -0.524 2.410
Br -3.721 -2.032 1.680
```

Output
Space group: P4/mmm
Formation energy without anion corrections: 1.76 eV/atom

---

The following is a PBE calculation of crystalline SbOsSN2 at its relaxed geometry, from Alexandria.

The structure in extended XYZ format:
```
5
Lattice="3.882 0.000 0.000 0.000 3.882 0.000 0.000 0.000 5.037" Properties=species:S:1:pos:R:3 pbc="T T T"
Sb 1.941 1.941 2.518
S 0.000 0.000 2.518
Os 0.000 0.000 0.000
N 0.000 1.941 0.000
N 1.941 0.000 0.000
```

Output
Polymorph energy (0 for the lowest one): 0 meV per atom
Space group: P4/mmm
Formation energy without anion corrections: 0.72 eV/atom

---

The following is a PBE calculation of crystalline CrSI at its relaxed geometry, from Alexandria.

The structure in extended XYZ format:
```
6
Lattice="3.640 0.000 -0.693 0.000 4.716 0.000 0.124 0.000 10.015" Properties=species:S:1:pos:R:3 pbc="T T T"
Cr 1.099 1.179 0.820
Cr 2.666 3.537 8.502
S 2.754 1.179 8.972
S 1.010 3.537 0.350
I 3.292 1.179 2.429
I 0.473 3.537 6.893
```

Output
Space group: P2_1/m
Formation energy without anion corrections: -0.57 eV/atom

---

The following is a PBE calculation of crystalline K3Ac3CeTe8 at its relaxed geometry, from Alexandria.

The structure in extended XYZ format:
```
15
Lattice="-2.339 8.918 2.558 -5.539 -4.826 -6.132 0.021 -2.754 9.620" Properties=species:S:1:pos:R:3 pbc="T T T"
K 0.000 0.000 0.000
K -2.769 -2.413 -3.066
K -3.939 2.046 -1.787
Ac -1.159 3.082 6.089
Ac -3.928 0.668 3.023
Ac -2.759 -3.790 1.744
Ce 0.011 -1.377 4.810
Te -3.463 -0.950 0.144
Te -4.393 2.286 5.903
Te -4.828 3.458 1.424
Te -3.029 -2.121 4.623
Te -1.898 6.010 4.667
Te -5.958 -4.674 1.380
Te -0.661 1.294 3.314
Te -7.196 0.043 2.733
```

Output
Space group: R-3m
Formation energy without anion corrections: -1.41 eV/atom

---

The following is a PBE calculation of crystalline MgZrSi2 at its relaxed geometry, from Alexandria.

The structure in extended XYZ format:
```
4
Lattice="-2.131 -4.271 -1.029 1.958 0.100 -4.472 2.427 -1.460 1.031" Properties=species:S:1:pos:R:3 pbc="T T T"
Mg 2.193 -0.680 -1.721
Si 0.000 0.000 0.000
Si -0.086 -2.086 -2.750
Zr 0.148 -2.865 0.001
```

Output
Space group: P4/mmm
Formation energy without anion corrections: -0.20 eV/atom

---

The following is a PBE calculation of crystalline Tl3VS4 at its relaxed geometry, from Alexandria.

The structure in extended XYZ format:
```
32
Lattice="9.208 0.000 0.000 0.000 9.441 0.000 0.000 0.000 10.903" Properties=species:S:1:pos:R:3 pbc="T T T"
Tl 3.887 5.632 8.178
Tl 8.491 8.531 8.178
Tl 5.321 3.810 2.726
Tl 0.717 0.911 2.726
Tl 3.771 7.563 0.576
Tl 8.375 6.599 4.875
Tl 5.437 1.878 6.028
Tl 0.833 2.843 10.327
Tl 5.437 1.878 10.327
Tl 0.833 2.843 6.028
Tl 3.771 7.563 4.875
Tl 8.375 6.599 0.576
S 1.582 9.221 6.418
S 6.186 4.941 9.937
S 7.626 0.220 0.967
S 3.022 4.500 4.485
S 7.626 0.220 4.485
S 3.022 4.500 0.967
S 1.582 9.221 9.937
S 6.186 4.941 6.418
S 2.960 2.489 8.178
S 7.564 2.231 8.178
S 6.247 6.952 2.726
S 1.644 7.210 2.726
S 4.637 8.792 8.178
S 0.033 5.370 8.178
S 4.571 0.649 2.726
S 9.175 4.072 2.726
V 2.719 0.317 8.178
V 7.323 4.404 8.178
V 6.489 9.124 2.726
V 1.885 5.038 2.726
```

Output
Polymorph energy (0 for the lowest one): 0 meV per atom
Space group: Pnma
Formation energy without anion corrections: -0.62 eV/atom